Entry 1:
Pm6Pd2Au: relaxed, PBE-GGA.

Calculated values
space-group type: P2_1/c
size of the total moment: 0.00 Bohr magnetons per cell
total energy: -5.140 eV per atom
crystal system: monoclinic
calculated volume: 29.61 Å³/atom
ΔE_f: -4.09 eV per formula unit

The structure in extended XYZ format:
```
18
Lattice="6.733 0.000 0.000 0.000 7.477 0.000 -6.281 0.000 10.586" Properties=species:S:1:pos:R:3 pbc="T T T"
Pm -2.199 1.400 4.487
Pm -5.339 2.338 9.780
Pm -1.022 4.934 4.522
Pm -4.162 6.282 9.815
Pm 1.230 0.351 2.510
Pm -1.910 3.388 7.803
Pm 2.362 4.089 2.783
Pm -0.779 7.126 8.076
Pm 4.614 1.195 0.771
Pm 1.473 2.544 6.064
Pm 5.791 5.139 0.806
Pm 2.650 6.077 6.099
Pd -3.490 0.902 7.794
Pd -0.349 2.836 2.501
Pd 0.801 4.641 8.085
Pd 3.942 6.575 2.792
Au 0.226 0.000 5.293
Au 3.367 3.739 0.000
```

=====

Entry 2:
Pm2Pd3Au9: relaxed, PBE-GGA.

Calculated values
space-group type: C2/c
size of the total moment: 0.00 Bohr magnetons per cell
total energy: -4.319 eV per atom
crystal system: monoclinic
calculated volume: 19.81 Å³/atom
ΔE_f: -5.89 eV per formula unit

The structure in extended XYZ format:
```
28
Lattice="7.254 -3.884 0.000 7.254 3.884 0.000 -5.217 0.000 9.842" Properties=species:S:1:pos:R:3 pbc="T T T"
Pm 1.368 0.491 2.334
Pm -1.241 -0.491 7.255
Pm 10.533 0.491 2.587
Pm 7.924 -0.491 7.509
Pd 3.627 1.942 0.000
Pd 3.439 2.131 4.676
Pd 8.462 2.131 0.245
Pd 1.019 -1.942 4.921
Pd 0.830 -2.131 9.597
Pd 5.853 -2.131 5.166
Au 5.926 3.235 0.998
Au 5.974 3.235 3.923
Au 1.152 0.758 5.577
Au 4.531 1.108 2.470
Au 3.342 1.706 7.382
Au 0.874 0.743 9.321
Au 3.761 -0.758 0.655
Au 7.369 1.108 2.451
Au 3.483 -0.743 4.400
Au 5.809 0.743 5.443
Au 1.923 -1.108 7.391
Au 5.531 0.758 9.187
Au 8.418 -0.743 0.522
Au 5.950 -1.706 2.461
Au 4.761 -1.108 7.372
Au 8.140 -0.758 4.266
Au 3.318 -3.235 5.919
Au 3.366 -3.235 8.844
```

=====

Entry 3:
PmPd4Au3: relaxed, PBE-GGA.

Calculated values
space-group type: Pmma
size of the total moment: 0.00 Bohr magnetons per cell
total energy: -4.850 eV per atom
crystal system: orthorhombic
calculated volume: 17.98 Å³/atom
ΔE_f: -3.45 eV per formula unit

The structure in extended XYZ format:
```
16
Lattice="9.409 0.000 0.000 0.000 6.122 0.000 0.000 0.000 4.994" Properties=species:S:1:pos:R:3 pbc="T T T"
Pm 0.000 0.000 0.000
Pm 4.705 0.000 0.000
Pd 0.000 1.585 2.497
Pd 0.000 4.536 2.497
Pd 2.352 1.634 0.727
Pd 2.352 4.487 0.727
Pd 4.705 1.585 2.497
Pd 4.705 4.536 2.497
Pd 7.057 1.634 4.267
Pd 7.057 4.487 4.267
Au 0.000 3.061 0.000
Au 2.352 0.000 2.980
Au 2.352 3.061 3.247
Au 4.705 3.061 0.000
Au 7.057 0.000 2.014
Au 7.057 3.061 1.747
```

=====

Entry 4:
Pm3Pd4Au2: relaxed, PBE-GGA.

Calculated values
space-group type: C2/m
size of the total moment: 0.00 Bohr magnetons per cell
total energy: -5.371 eV per atom
crystal system: monoclinic
calculated volume: 22.16 Å³/atom
ΔE_f: -6.76 eV per formula unit

The structure in extended XYZ format:
```
9
Lattice="5.425 -2.037 0.000 5.425 2.037 0.000 -4.515 0.000 9.024" Properties=species:S:1:pos:R:3 pbc="T T T"
Pm 0.000 0.000 0.000
Pm 2.551 0.000 2.802
Pm 3.785 0.000 6.223
Pd -0.891 0.000 4.105
Pd -1.190 0.000 8.440
Pd 7.526 0.000 0.584
Pd 7.226 0.000 4.919
Au 0.746 0.000 6.529
Au 5.589 0.000 2.496
```